1.
MnBiTe2N: optimized geometry, PBE-GGA.

Results
formation energy from raw total energies = 1192.3 meV/atom
E above lowest polymorph = 1024 meV per atom
energy = -4.340 eV per atom

a = 5.9320 Å, b = 5.9320 Å, c = 4.3338 Å
α = 90.00°, β = 90.00°, γ = 90.00°
Space group P4/mmm (No. 123)
Asymmetric unit:
Mn  0.0000  0.0000  0.0000
Bi  0.5000  0.5000  0.5000
Te  0.0000  0.5000  0.5000
N  0.5000  0.5000  0.0000


2.
TlIr2Pd: optimized geometry, PBE-GGA.

Results
E above lowest polymorph = 78 meV per atom
ΔH_f (0 K) = 2.43 eV per formula unit
energy = -5.713 eV per atom

a = 3.9144 Å, b = 3.9144 Å, c = 19.3195 Å
α = 90.00°, β = 90.00°, γ = 90.00°
Space group I-42d (No. 122)
Asymmetric unit:
Tl  0.0000  0.0000  0.0000
Ir  0.1972  0.2500  0.6250
Pd  0.0000  0.0000  0.5000


3.
Sc2NbZnW: optimized geometry, PBE-GGA.

Results
ΔH_f (0 K) = 4.38 eV per formula unit
energy = -6.515 eV per atom

a = 5.1333 Å, b = 5.1333 Å, c = 4.7785 Å
α = 90.00°, β = 90.00°, γ = 90.00°
Space group P4/mmm (No. 123)
Asymmetric unit:
Sc  0.0000  0.5000  0.0000
Nb  0.0000  0.0000  0.5000
Zn  0.5000  0.5000  0.5000
W  0.0000  0.0000  0.0000


4.
Na2SrMgZn: optimized geometry, PBE-GGA.

Results
ΔH_f (0 K) = 0.60 eV per formula unit
energy = -1.318 eV per atom

a = 5.6591 Å, b = 5.6591 Å, c = 5.2678 Å
α = 90.00°, β = 90.00°, γ = 90.00°
Space group P4/mmm (No. 123)
Asymmetric unit:
Na  0.0000  0.5000  0.0000
Sr  0.0000  0.0000  0.5000
Mg  0.5000  0.5000  0.5000
Zn  0.5000  0.5000  0.0000


5.
HgP3Pd: optimized geometry, PBE-GGA.

Results
E above lowest polymorph = 0 meV per atom
ΔH_f (0 K) = 4.07 eV per formula unit
energy = -3.531 eV per atom

a = 4.7363 Å, b = 4.7363 Å, c = 4.7363 Å
α = 90.00°, β = 90.00°, γ = 90.00°
Space group Pm-3m (No. 221)
Asymmetric unit:
Hg  0.0000  0.0000  0.0000
P  0.0000  0.5000  0.5000
Pd  0.5000  0.5000  0.5000


6.
Tb2Ho12Th: optimized geometry, PBE-GGA.

Results
ΔH_f (0 K) = 1.77 eV per formula unit
energy = -4.656 eV per atom

a = 7.0571 Å, b = 11.0760 Å, c = 24.3103 Å
α = 90.00°, β = 94.11°, γ = 90.00°
Space group C2/m (No. 12)
Asymmetric unit:
Tb  0.0659  0.0000  0.2718
Tb  0.0702  0.5000  0.2725
Ho  0.0182  0.2499  0.0731
Ho  0.1125  0.2534  0.4450
Ho  0.1398  0.0000  0.5765
Ho  0.1453  0.5000  0.5714
Ho  0.1672  0.2522  0.6691
Ho  0.1998  0.2502  0.7981
Ho  0.2154  0.5000  0.8631
Ho  0.2157  0.0000  0.8631
Th  0.2494  0.5000  0.0000


7.
NbGeSb2Te: optimized geometry, PBE-GGA.

Results
formation energy from raw total energies = 556.9 meV/atom
E above lowest polymorph = 0 meV per atom
energy = -4.658 eV per atom

a = 5.4109 Å, b = 5.4109 Å, c = 5.3158 Å
α = 90.00°, β = 90.00°, γ = 90.00°
Space group P4/mmm (No. 123)
Asymmetric unit:
Nb  0.0000  0.0000  0.0000
Ge  0.5000  0.5000  0.5000
Sb  0.0000  0.5000  0.0000
Te  0.0000  0.0000  0.5000


8.
Ca7Bi2Pb2: optimized geometry, PBE-GGA.

Results
ΔH_f (0 K) = -5.69 eV per formula unit
energy = -3.171 eV per atom

a = 9.9638 Å, b = 11.2852 Å, c = 7.5802 Å
α = 90.00°, β = 90.00°, γ = 90.00°
Space group Cmmm (No. 65)
Asymmetric unit:
Ca  0.0000  0.0000  0.0000
Ca  0.0000  0.5000  0.2666
Ca  0.2500  0.2500  0.2673
Bi  0.0000  0.2779  0.0000
Pb  0.2187  0.0000  0.5000


9.
NaCaAsSe2: optimized geometry, PBE-GGA.

Results
formation energy from raw total energies = -85.7 meV/atom
E above lowest polymorph = 87 meV per atom
energy = -3.074 eV per atom

a = 5.2099 Å, b = 5.2099 Å, c = 4.9241 Å
α = 90.00°, β = 90.00°, γ = 90.00°
Space group P4/mmm (No. 123)
Asymmetric unit:
Na  0.0000  0.0000  0.0000
Ca  0.5000  0.5000  0.5000
As  0.0000  0.0000  0.5000
Se  0.0000  0.5000  0.0000


10.
ZrTi2W2: optimized geometry, PBE-GGA.

Results
E above lowest polymorph = 0 meV per atom
ΔH_f (0 K) = 1.47 eV per formula unit
energy = -9.755 eV per atom

a = 7.5396 Å, b = 7.5396 Å, c = 3.1821 Å
α = 90.00°, β = 90.00°, γ = 90.00°
Space group P4/mbm (No. 127)
Asymmetric unit:
Zr  0.0000  0.0000  0.0000
Ti  0.1439  0.3561  0.5000
W  0.1482  0.6482  0.0000


11.
PmHo2Ir: optimized geometry, PBE-GGA.

Results
E above lowest polymorph = 0 meV per atom
ΔH_f (0 K) = -2.23 eV per formula unit
energy = -6.249 eV per atom

a = 7.2749 Å, b = 9.3266 Å, c = 6.4375 Å
α = 90.00°, β = 90.00°, γ = 90.00°
Space group Pnma (No. 62)
Asymmetric unit:
Pm  0.0338  0.2500  0.1332
Ho  0.1753  0.0643  0.6697
Ir  0.1178  0.7500  0.4382


12.
TaRuSe2Br: optimized geometry, PBE-GGA.

Results
formation energy from raw total energies = 1021.4 meV/atom
E above lowest polymorph = 330 meV per atom
energy = -4.933 eV per atom

a = 4.8022 Å, b = 4.8022 Å, c = 4.8248 Å
α = 90.00°, β = 90.00°, γ = 90.00°
Space group P4/mmm (No. 123)
Asymmetric unit:
Ta  0.0000  0.0000  0.0000
Ru  0.5000  0.5000  0.5000
Se  0.0000  0.5000  0.5000
Br  0.5000  0.5000  0.0000